# Sr4Br6O, optimized geometry, DFT GGA-PBEsol
data_Sr4Br6O
_cell_length_a 9.578
_cell_length_b 9.578
_cell_length_c 7.157
_cell_angle_alpha 90.00
_cell_angle_beta 90.00
_cell_angle_gamma 90.00
_symmetry_space_group_name_H-M 'P 42/n m c'
_symmetry_Int_Tables_number 137
loop_
_symmetry_equiv_pos_as_xyz
'x,y,z'
'-x,-y,-z'
'-y+1/2,x,z+1/2'
'y+1/2,-x,-z+1/2'
'-x+1/2,-y+1/2,z'
'x+1/2,y+1/2,-z'
'y,-x+1/2,z+1/2'
'-y,x+1/2,-z+1/2'
'x+1/2,-y,-z'
'-x+1/2,y,z'
'-y,-x,-z+1/2'
'y,x,z+1/2'
'-x,y+1/2,-z'
'x,-y+1/2,z'
'y+1/2,x+1/2,-z+1/2'
'-y+1/2,-x+1/2,z+1/2'
loop_
_atom_site_label
_atom_site_type_symbol
_atom_site_fract_x
_atom_site_fract_y
_atom_site_fract_z
_atom_site_occupancy
Sr1 Sr 0.019 0.750 0.095 1
Br1 Br 0.047 0.547 0.750 1
Br2 Br 0.250 0.250 0.130 1
O1 O 0.250 0.750 0.250 1
# * V: 328.31 Å³/f.u.
# * total DFT energy (no corrections): -4.372 eV per atom
# * Fermi-level density of states: 0.00 states/eV/atom
# * uncorrected formation energy: -2.205 eV/atom